5
Lattice="4.491 0.000 0.000 0.000 5.314 0.000 0.000 0.000 5.314" Properties=species:S:1:pos:R:3 comment="TiBi2PtCl, relaxed, DFT PBEsol" magnetic_moment_mub_per_cell=1.2 e_tot_ev_per_atom=-4.32 space_group="No. 123" pbc="T T T"
Cl 0.000 0.000 0.000
Bi 0.000 0.000 2.657
Bi 0.000 2.657 0.000
Pt 2.245 0.000 0.000
Ti 2.245 2.657 2.657